# Re3Br, optimized geometry, DFT PBE
# - D(E_F): 3.8 states/eV/f.u.
# - Magnetic moment: 0.00 μB per formula unit
# - E above lowest polymorph: 895 meV/atom
data_Re3Br
_chemical_formula_sum 'Re3 Br1'
_space_group_name_H-M_alt 'P 1'
_space_group_IT_number 1
_space_group_name_Hall 'P 1'
_cell_length_a 3.997
_cell_length_b 3.997
_cell_length_c 3.997
_cell_angle_alpha 90.00
_cell_angle_beta 90.00
_cell_angle_gamma 90.00
loop_
_atom_site_label
_atom_site_type_symbol
_atom_site_fract_x
_atom_site_fract_y
_atom_site_fract_z
Re1 Re 0.000 0.000 0.500
Re2 Re 0.000 0.500 0.000
Re3 Re 0.500 0.000 0.000
Br1 Br 0.500 0.500 0.500